Zr9Sc4Zn11, optimized geometry, DFT GGA-PBE; size of the total moment = 1.69 μB per formula unit; ρ = 6.2 g cm⁻³; volume = 460 Å³/cell; energy of formation = -0.208 eV per atom
1.0
-2.761 1.475 0.130
-3.257 -5.128 -10.955
-3.479 -7.351 9.527
Zr Zn Sc
9 11 4
direct
0.500 0.204 0.017
0.500 0.153 0.616
0.500 0.796 0.983
0.500 0.500 0.500
0.500 0.616 0.153
0.500 0.983 0.796
0.500 0.847 0.384
0.500 0.384 0.847
0.500 0.017 0.204
0.000 0.790 0.790
0.000 0.816 0.184
0.000 0.049 0.411
0.000 0.951 0.589
0.000 0.411 0.049
0.000 0.184 0.816
0.000 0.373 0.627
0.000 0.000 0.000
0.000 0.589 0.951
0.000 0.210 0.210
0.000 0.627 0.373
0.500 0.249 0.415
0.500 0.585 0.751
0.500 0.415 0.249
0.500 0.751 0.585